Entry from Alexandria via LeMat-Bulk: an optimized crystal structure of YMg2Cu (PBE).

Output
- M_tot: 0.0 μB per formula unit

Cell: 3.349 3.349 7.803 Å, 90.00 90.00 90.00°
Fractional positions:
Y1 0.000 0.000 0.542
Mg1 0.000 0.000 0.959
Mg2 0.500 0.500 0.228
Cu1 0.500 0.500 0.771



Entry from Alexandria via LeMat-Bulk: an optimized crystal structure of CeSm2Dy3Y6 (PBE).

Output
- M_tot: 1.1 μB per formula unit

Cell: 6.197 6.197 11.818 Å, 95.01 95.01 119.98°
Fractional positions:
Ce1 0.000 0.000 0.000
Sm1 0.333 0.667 0.000
Sm2 0.667 0.333 0.000
Dy1 0.167 0.833 0.500
Dy2 0.833 0.167 0.500
Dy3 0.500 0.500 0.500
Y1 0.916 0.585 0.749
Y2 0.753 0.753 0.251
Y3 0.084 0.415 0.251
Y4 0.585 0.916 0.749
Y5 0.247 0.247 0.749
Y6 0.415 0.084 0.251



| no. | formation energy from the elements (eV/atom) | V (Å³/cell) |
| --- | --- | --- |
| 1 | -0.11 | 87.5 |
| 2 | 0.04 | 387.1 |